# ZrSbPb2O6, optimized geometry, DFT PBE
# * DFT total energy: -67.2 eV/f.u.
data_ZrSbPb2O6
_chemical_formula_sum 'Zr2 Sb2 Pb4 O12'
_space_group_name_H-M_alt 'P m m n'
_space_group_IT_number 59
_cell_length_a 6.0270
_cell_length_b 8.4239
_cell_length_c 6.0777
_cell_angle_alpha 90.00
_cell_angle_beta 90.00
_cell_angle_gamma 90.00
loop_
_space_group_symop_operation_xyz
'x,y,z'
'-x,-y,-z'
'-x+1/2,-y+1/2,z'
'x+1/2,y+1/2,-z'
'x+1/2,-y,-z'
'-x+1/2,y,z'
'-x,y+1/2,-z'
'x,-y+1/2,z'
loop_
_atom_site_label
_atom_site_type_symbol
_atom_site_fract_x
_atom_site_fract_y
_atom_site_fract_z
Zr1 Zr 0.2500 0.2500 0.2250
Sb1 Sb 0.2500 0.7500 0.2389
Pb1 Pb 0.2500 0.0317 0.6904
O1 O 0.0031 0.2500 0.0003
O2 O 0.0232 0.2500 0.5260
O3 O 0.2500 0.0023 0.2919

# Zr2SbPbO8, optimized geometry, DFT PBE
# * DFT total energy: -91.2 eV/f.u.
data_Zr2SbPbO8
_chemical_formula_sum 'Zr4 Sb2 Pb2 O16'
_space_group_name_H-M_alt 'C m m m'
_space_group_IT_number 65
_space_group_name_Hall '-C 2 2'
_cell_length_a 6.9784
_cell_length_b 6.9888
_cell_length_c 6.7470
_cell_angle_alpha 90.00
_cell_angle_beta 90.00
_cell_angle_gamma 90.00
loop_
_atom_site_label
_atom_site_type_symbol
_atom_site_fract_x
_atom_site_fract_y
_atom_site_fract_z
Zr1 Zr 0.0000 0.0000 0.2450
Sb1 Sb 0.0000 0.5000 0.0000
Pb1 Pb 0.0000 0.5000 0.5000
O1 O 0.0000 0.1769 0.5000
O2 O 0.0000 0.2041 0.0000
O3 O 0.1977 0.5000 0.2158

# Zr2Sb2Pb4O13, optimized geometry, DFT PBE
# * DFT total energy: -144.9 eV/f.u.
data_Zr2Sb2Pb4O13
_chemical_formula_sum 'Zr4 Sb4 Pb8 O26'
_space_group_name_H-M_alt 'I m m 2'
_space_group_IT_number 44
_space_group_name_Hall 'I 2 -2'
_cell_length_a 7.6319
_cell_length_b 7.6756
_cell_length_c 10.8085
_cell_angle_alpha 90.00
_cell_angle_beta 90.00
_cell_angle_gamma 90.00
loop_
_atom_site_label
_atom_site_type_symbol
_atom_site_fract_x
_atom_site_fract_y
_atom_site_fract_z
Zr1 Zr 0.0000 0.2485 0.0000
Sb1 Sb 0.2494 0.0000 0.7500
Pb1 Pb 0.0000 0.2497 0.4990
Pb2 Pb 0.2447 0.5000 0.7518
O1 O 0.0000 0.0000 0.0762
O2 O 0.0000 0.0000 0.6845
O3 O 0.0000 0.5000 0.3175
O4 O 0.0000 0.5000 0.6208
O5 O 0.0000 0.5000 0.9137
O6 O 0.2036 0.1879 0.8737
O7 O 0.2052 0.3113 0.1261

# Sc2PbO5, optimized geometry, DFT PBE
# * DFT total energy: -59.9 eV/f.u.
data_Sc2PbO5
_chemical_formula_sum 'Sc8 Pb4 O20'
_space_group_name_H-M_alt 'P n m a'
_space_group_IT_number 62
_space_group_name_Hall '-P 2ac 2n'
_cell_length_a 9.5417
_cell_length_b 6.4141
_cell_length_c 5.8928
_cell_angle_alpha 90.00
_cell_angle_beta 90.00
_cell_angle_gamma 90.00
loop_
_atom_site_label
_atom_site_type_symbol
_atom_site_fract_x
_atom_site_fract_y
_atom_site_fract_z
Sc1 Sc 0.1752 0.0006 0.0052
Pb1 Pb 0.0026 0.7500 0.5539
O1 O 0.0004 0.2500 0.0350
O2 O 0.1138 0.0244 0.6581
O3 O 0.1907 0.7500 0.3191
O4 O 0.2141 0.2500 0.3050